Li3Nb4FeO12 after structural relaxation, computed with PBE with a Hubbard U.

Structure (CIF):
```
data_Li3Nb4FeO12
_cell_length_a 5.2577
_cell_length_b 5.6345
_cell_length_c 7.6719
_cell_angle_alpha 84.98
_cell_angle_beta 89.84
_cell_angle_gamma 89.77
_symmetry_space_group_name_H-M 'P 1'
_symmetry_Int_Tables_number 1
loop_
_symmetry_equiv_pos_as_xyz
'x,y,z'
loop_
_atom_site_label
_atom_site_type_symbol
_atom_site_fract_x
_atom_site_fract_y
_atom_site_fract_z
Li1 Li 0.0000 0.0000 0.0000
Li2 Li 0.0010 0.9954 0.4942
Li3 Li 0.4999 0.4866 0.4939
Nb1 Nb 0.0032 0.5750 0.7773
Nb2 Nb 0.4944 0.0494 0.2845
Nb3 Nb 0.5024 0.0673 0.7791
Nb4 Nb 0.9957 0.5551 0.2856
Fe1 Fe 0.4963 0.4790 0.9918
O1 O 0.1251 0.5917 0.5375
O2 O 0.1816 0.8993 0.2357
O3 O 0.1970 0.2789 0.8548
O4 O 0.3085 0.7771 0.8584
O5 O 0.3238 0.4015 0.2291
O6 O 0.3808 0.0943 0.5379
O7 O 0.6254 0.0940 0.0413
O8 O 0.6807 0.4016 0.7411
O9 O 0.6961 0.7716 0.3554
O10 O 0.8069 0.2753 0.3577
O11 O 0.8181 0.8977 0.7317
O12 O 0.8781 0.5937 0.0401
```

V = 226.4 Å³ per cell
N(E_F) = 5.274 states/eV per cell
Energy = -7.9120 eV per atom